Entry 1:
Computed, not measured: an optimized crystal structure of Ag3Br2Cl2 at the PBE level of DFT.

Cell and atoms, written as POSCAR:
```
Ag3Br2Cl2
1.0
4.1473 0.3654 -0.1665
-1.4621 6.4584 -0.1453
-0.3950 -1.2449 6.7153
Ag Br Cl
3 2 2
Cartesian
0.0000 0.0000 0.0000 Ag
2.1693 3.1692 1.5135 Ag
0.1208 2.4097 4.8899 Ag
2.2133 4.3714 3.9842 Br
0.0768 1.2075 2.4192 Br
1.9148 0.7731 5.8220 Cl
0.3754 4.8058 0.5814 Cl
```

Computed properties:
For the total energy, the calculation gives -2.58 eV/atom. Its total magnetization is 0.00 μB per formula unit. The energy relative to the lowest polymorph listed for this composition comes out at 0.0 meV per atom.



Entry 2:
Computed, not measured: an optimized crystal structure of Ta2CuTe at the PBE level of DFT.

Cell and atoms, written as POSCAR:
```
Ta2CuTe
1.0
4.3715 0.0000 0.0000
0.0000 3.0390 0.0128
0.0000 1.1692 5.4435
Cu Ta Te
1 2 1
Cartesian
2.1857 3.1561 4.0922 Cu
0.0000 1.1957 5.3802 Ta
0.0000 2.0775 2.7914 Ta
2.1857 1.0520 1.3641 Te
```

Computed properties:
For the total energy, the calculation gives -7.39 eV/atom. Its total magnetization is 0.00 μB per formula unit.



Entry 3:
Computed, not measured: an optimized crystal structure of PaMnPbS6 at the PBE level of DFT.

Cell and atoms, written as POSCAR:
```
PaMnPbS6
1.0
-0.0633 -0.2859 -5.7459
5.0219 -4.0305 0.1452
-6.0032 -2.3268 0.1819
Pa Mn Pb S
1 1 1 6
Cartesian
-2.3282 -2.8947 0.1697 Pa
-0.0317 -0.1429 -2.8730 Mn
1.3152 -3.6056 -2.7155 Pb
-0.8466 -4.6894 -4.0381 S
-4.5107 -3.6376 -4.0501 S
-1.7684 -0.9945 -4.2118 S
-0.4099 -1.9211 -1.3800 S
-2.4029 -5.1656 -1.1966 S
-4.2205 -1.8178 -1.3431 S
```

Computed properties:
For the total energy, the calculation gives -5.90 eV/atom. Its total magnetization is 2.32 μB per formula unit.



Entry 4:
Computed, not measured: an optimized crystal structure of Pr2Sm12Tm at the PBE level of DFT.

Cell and atoms, written as POSCAR:
```
Pr2Sm12Tm
1.0
-3.4216 -5.1175 -2.9025
0.4688 -0.1611 6.7878
-21.1664 13.1459 1.7739
Pr Sm Tm
4 24 2
Cartesian
-7.3275 0.9297 -0.9805 Pr
-5.5450 3.5089 3.8782 Pr
-15.3153 9.5770 4.6971 Pr
-17.0977 6.9977 -0.1617 Pr
-18.4439 7.8988 3.3646 Sm
-16.9675 10.5381 1.4220 Sm
-21.7956 8.1958 4.5461 Sm
-19.0160 10.0866 5.9221 Sm
-6.9205 4.2982 0.5800 Sm
-3.1580 0.2590 4.5822 Sm
-14.8330 3.6720 0.6301 Sm
-8.3969 1.6589 2.5227 Sm
-20.3122 10.8439 2.6207 Sm
-3.8000 -2.9677 3.0558 Sm
-12.6773 5.9175 1.7302 Sm
-11.2314 1.7172 0.1840 Sm
-14.2458 8.8477 1.1939 Sm
-9.9655 4.5891 1.9863 Sm
-2.3305 -0.3373 1.0958 Sm
-11.6296 1.7106 3.4613 Sm
-13.9659 3.5174 4.1405 Sm
-4.1989 2.6078 0.3519 Sm
-12.7707 6.3595 5.3211 Sm
-15.7222 6.2085 3.1366 Sm
-20.9523 7.6243 1.0653 Sm
-5.6753 -0.0315 2.2946 Sm
-9.4033 3.9860 5.1832 Sm
-5.1121 -2.2351 -0.2512 Sm
-22.8741 10.5853 0.3224 Tm
0.2313 -0.0786 3.3942 Tm
```

Computed properties:
The value obtained for the formation energy is 0.155 eV/atom. For the total energy, the calculation gives -4.56 eV/atom. Its total magnetization is 0.00 μB per formula unit.



Entry 5:
Computed, not measured: an optimized crystal structure of TbHo3Mg4 at the PBE level of DFT.

Cell and atoms, written as POSCAR:
```
TbHo3Mg4
1.0
-1.6482 3.3921 0.2637
-2.4340 -0.9708 -2.7250
-9.5195 -5.4372 10.4400
Mg Tb Ho
4 1 3
Cartesian
-8.3150 -4.7493 9.1191 Mg
-1.2045 -0.6880 1.3209 Mg
-3.5737 -2.0412 3.9193 Mg
-5.9458 -3.3960 6.5207 Mg
-2.0411 1.2106 -1.2306 Tb
-4.4288 -0.1531 1.3880 Ho
-6.8008 -1.5080 3.9894 Ho
-9.1729 -2.8628 6.5908 Ho
```

Computed properties:
The value obtained for the formation energy is -0.078 eV/atom. For the total energy, the calculation gives -3.17 eV/atom. Its total magnetization is 0.00 μB per formula unit.



Entry 6:
Computed, not measured: an optimized crystal structure of NiPSe2 at the PBE level of DFT.

Cell and atoms, written as POSCAR:
```
NiPSe2
1.0
1.6891 3.7532 0.0611
-1.6891 3.7532 0.0611
0.0000 0.4521 6.5788
Ni P Se
1 1 2
Cartesian
0.0000 3.6115 2.2690 Ni
0.0000 5.8519 2.7810 P
0.0000 7.3199 0.6980 Se
0.0000 2.6608 4.4260 Se
```

Computed properties:
For the total energy, the calculation gives -4.62 eV/atom. Its total magnetization is 0.00 μB per formula unit.